ReSiRu2 meta-GGA SCAN single point on PBEsol structure; E = -37.79 eV/atom; energy relative to the elements, uncorrected = -0.10 eV/atom
1.0
-1.332 0.794 2.304
1.904 -2.621 2.004
3.711 3.431 0.963
Re Ru Si
1 2 1
Direct
0.500 0.500 0.767
0.000 0.000 0.970
0.500 0.500 0.290
0.000 0.000 0.473